No. 1
This record from the Alexandria database describes an optimized crystal structure of CdHg3Pd7. The functional is PBE-GGA.

Results
spin magnetization	0.00	μB/f.u.
theoretical density	11.5	Mg/m³
energy of formation	8.8	kJ/mol of formula units
symmetry	No. 12
VASP energy	-38.1	eV per cell

Unit cell a=6.639 b=6.639 c=5.272 alpha=107.14 beta=107.14 gamma=91.53
Element x y z (fractional)
Cd 0.000 0.000 0.000
Hg 0.284 0.716 0.500
Hg 0.500 0.500 0.000
Hg 0.716 0.284 0.500
Pd 0.000 0.000 0.500
Pd 0.081 0.574 0.825
Pd 0.285 0.285 0.461
Pd 0.426 0.919 0.175
Pd 0.574 0.081 0.825
Pd 0.715 0.715 0.539
Pd 0.919 0.426 0.175

***

No. 2
This record from the Alexandria database describes an optimized crystal structure of Cd5HgPd2. The functional is PBE-GGA.

Results
spin magnetization	0.00	μB/f.u.
theoretical density	9.5	Mg/m³
energy of formation	-125.9	kJ/mol of formula units
symmetry	No. 71
VASP energy	-33.1	eV per cell

Unit cell a=4.581 b=8.594 c=8.685 alpha=90.00 beta=90.00 gamma=90.00
Element x y z (fractional)
Cd 0.000 0.000 0.000
Cd 0.000 0.326 0.325
Cd 0.000 0.326 0.675
Cd 0.000 0.674 0.325
Cd 0.000 0.674 0.675
Cd 0.500 0.174 0.175
Cd 0.500 0.174 0.825
Cd 0.500 0.500 0.500
Cd 0.500 0.826 0.175
Cd 0.500 0.826 0.825
Hg 0.000 0.500 0.000
Hg 0.500 0.000 0.500
Pd 0.000 0.000 0.314
Pd 0.000 0.000 0.686
Pd 0.500 0.500 0.186
Pd 0.500 0.500 0.814

***

No. 3
This record from the Alexandria database describes an optimized crystal structure of Cd2HgPd3. The functional is PBE-GGA.

Results
spin magnetization	0.00	μB/f.u.
theoretical density	11.6	Mg/m³
energy of formation	-186.1	kJ/mol of formula units
symmetry	No. 123
VASP energy	-19.6	eV per cell

Unit cell a=3.269 b=3.269 c=9.948 alpha=90.00 beta=90.00 gamma=90.00
Element x y z (fractional)
Cd 0.000 0.000 0.165
Cd 0.000 0.000 0.835
Hg 0.000 0.000 0.500
Pd 0.500 0.500 0.000
Pd 0.500 0.500 0.330
Pd 0.500 0.500 0.670

***

No. 4
This record from the Alexandria database describes an optimized crystal structure of Cd4HgPd. The functional is PBE-GGA.

Results
spin magnetization	0.00	μB/f.u.
theoretical density	9.6	Mg/m³
energy of formation	-77.9	kJ/mol of formula units
symmetry	No. 15
VASP energy	-19.9	eV per cell

Unit cell a=7.379 b=7.379 c=5.658 alpha=100.13 beta=100.13 gamma=116.17
Element x y z (fractional)
Cd 0.083 0.712 0.945
Cd 0.193 0.390 0.640
Cd 0.288 0.917 0.555
Cd 0.390 0.193 0.140
Cd 0.610 0.807 0.860
Cd 0.712 0.083 0.445
Cd 0.807 0.610 0.360
Cd 0.917 0.288 0.055
Hg 0.391 0.609 0.250
Hg 0.609 0.391 0.750
Pd 0.001 0.999 0.750
Pd 0.999 0.001 0.250